Here is a relaxed structure of BaCdFe from Alexandria. Energies are from PBE.

Computed properties:
As for the density of states at the Fermi level: 4.358 states/eV/cell. The symmetry is F-43m (216). The energy of formation is 0.980 eV per atom.

Cell lengths 5.4465, 5.4465, 5.4465 Å; angles 60.00, 60.00, 60.00 degrees
Closest atoms and distances in Å follow each position.
Sites, in units of the cell vectors:
Cd1 0.0000 0.0000 0.0000  4 Ba 3.34
Ba1 0.2500 0.2500 0.2500  4 Fe 3.34, 4 Cd 3.34
Fe1 0.5000 0.5000 0.5000  4 Ba 3.34